The following is a PBE-GGA calculation of a relaxed structure of Y3HfF, from Alexandria via LeMat-Bulk.

Calculated values
Space-group type ... No. 221
Energy relative to the lowest polymorph listed for this composition ... 0 meV per atom
Calculated total energy ... -7.06 eV/atom
Formation energy (no corrections) ... -4.1 eV/f.u.

a b c (Å): 4.9158 4.9158 4.9158
angles (deg): 90.00 90.00 90.00
Sites, in units of the cell vectors:
1 Y 0.0000 0.5000 0.0000
2 Y 0.0000 0.0000 0.5000
3 Y 0.5000 0.0000 0.0000
4 Hf 0.5000 0.5000 0.5000
5 F 0.0000 0.0000 0.0000

The following is a PBE-GGA calculation of a relaxed structure of Y3HfF, from Alexandria via LeMat-Bulk.

Calculated values
Space-group type ... No. 221
Energy relative to the lowest polymorph listed for this composition ... 1248 meV per atom
Calculated total energy ... -5.81 eV/atom
Formation energy (no corrections) ... 2.2 eV/f.u.

a b c (Å): 5.6156 5.6156 5.6156
angles (deg): 90.00 90.00 90.00
Sites, in units of the cell vectors:
1 Y 0.0000 0.5000 0.0000
2 Y 0.0000 0.0000 0.5000
3 Y 0.5000 0.0000 0.0000
4 Hf 0.0000 0.0000 0.0000
5 F 0.5000 0.5000 0.5000